AcNd3Au4 | GGA-PBE | relaxed

a b c (Å): 5.331 5.331 7.526
angles (deg): 90.00 90.00 90.00
Space group P4/mmm (No. 123)
Unique sites:
Ac  0.000  0.000  0.000 (multiplicity 1)
Nd  0.000  0.000  0.500 (multiplicity 1)
Nd  0.500  0.500  0.000 (multiplicity 1)
Nd  0.500  0.500  0.500 (multiplicity 1)
Au  0.000  0.500  0.263 (multiplicity 4)

Calculated values
- E (eV per atom) = -4.69
- total magnetization (μB/atom) = 0.000
- formation energy (eV/atom) = -0.754

Ac3NdAu2 | GGA-PBE | relaxed

a b c (Å): 4.081 10.675 9.583
angles (deg): 90.00 90.00 90.00
Space group Pmc2_1 (No. 26)
Unique sites:
Ac  0.000  0.075  0.000 (multiplicity 2)
Ac  0.000  0.284  0.335 (multiplicity 2)
Ac  0.500  0.227  0.675 (multiplicity 2)
Nd  0.500  0.436  0.005 (multiplicity 2)
Au  0.000  0.443  0.720 (multiplicity 2)
Au  0.500  0.062  0.280 (multiplicity 2)

Calculated values
- E (eV per atom) = -4.45
- total magnetization (μB/atom) = 0.000
- formation energy (eV/atom) = -0.510
- energy above the most stable polymorph in this dataset (eV/atom) = 0.0000

AcNd4Au4 | GGA-PBE | relaxed

a b c (Å): 9.652 9.652 6.148
angles (deg): 90.00 90.00 90.00
Space group P4_2/n (No. 86, origin choice 2)
Unique sites:
Ac  0.250  0.250  0.250 (multiplicity 2)
Nd  0.078  0.651  0.162 (multiplicity 8)
Au  0.041  0.619  0.656 (multiplicity 8)

Calculated values
- E (eV per atom) = -4.61
- total magnetization (μB/atom) = 0.000
- formation energy (eV/atom) = -0.575

AcNd2Au3 | GGA-PBE | relaxed

a b c (Å): 5.369 16.112 7.513
angles (deg): 90.00 90.07 90.00
Space group C2/m (No. 12)
Unique sites:
Ac  0.000  0.165  0.000 (multiplicity 4)
Nd  0.000  0.168  0.500 (multiplicity 4)
Nd  0.000  0.500  0.000 (multiplicity 2)
Nd  0.000  0.500  0.500 (multiplicity 2)
Au  0.000  0.000  0.264 (multiplicity 4)
Au  0.000  0.338  0.266 (multiplicity 8)

Calculated values
- E (eV per atom) = -4.67
- total magnetization (μB/atom) = 0.000
- formation energy (eV/atom) = -0.756
- energy above the most stable polymorph in this dataset (eV/atom) = 0.0060

Ac2NdAu | GGA-PBE | relaxed

a b c (Å): 4.0834 4.0834 31.2027
angles (deg): 90.00 90.00 120.00
Space group R3m (No. 160, hexagonal axes)
Unique sites:
Ac  0.0000  0.0000  0.0000 (multiplicity 3)
Ac  0.0000  0.0000  0.1942 (multiplicity 3)
Nd  0.0000  0.0000  0.4294 (multiplicity 3)
Au  0.0000  0.0000  0.5974 (multiplicity 3)

Calculated values
- E (eV per atom) = -4.33
- total magnetization (μB/atom) = 0.000
- formation energy (eV/atom) = -0.269
- energy above the most stable polymorph in this dataset (eV/atom) = 0.0855

AcNdAu | GGA-PBE | relaxed

a b c (Å): 5.045 5.045 7.797
angles (deg): 90.00 90.00 90.00
Space group P4/nmm (No. 129, origin choice 2)
Unique sites:
Ac  0.250  0.250  0.122 (multiplicity 2)
Nd  0.250  0.750  0.500 (multiplicity 2)
Au  0.250  0.250  0.728 (multiplicity 2)

Calculated values
- E (eV per atom) = -4.56
- total magnetization (μB/atom) = 0.000
- formation energy (eV/atom) = -0.511
- energy above the most stable polymorph in this dataset (eV/atom) = 0.0192